{
  "formula": "SrMnZnP2O8",
  "functional": "PBEsol",
  "state": "relaxed",
  "lattice_angstrom": [[-4.7914, -0.1769, -2.5888], [1.7786, -6.5772, -0.8716], [-2.6356, 1.5370, 8.8851]],
  "species": ["Sr", "Sr", "Mn", "Mn", "Zn", "Zn", "P", "P", "P", "P", "O", "O", "O", "O", "O", "O", "O", "O", "O", "O", "O", "O", "O", "O", "O", "O"],
  "frac_coords": [[0.2415, 0.7986, 0.0489], [0.7585, 0.2014, 0.9511], [0.6265, 0.8345, 0.5580], [0.3735, 0.1655, 0.4420], [0.9944, 0.3812, 0.6410], [0.0056, 0.6188, 0.3590], [0.3917, 0.4170, 0.2235], [0.6083, 0.5830, 0.7765], [0.8368, 0.0185, 0.2973], [0.1632, 0.9815, 0.7027], [0.7994, 0.5532, 0.9075], [0.2006, 0.4468, 0.0925], [0.6720, 0.4681, 0.2123], [0.3280, 0.5319, 0.7877], [0.6742, 0.8086, 0.7777], [0.3258, 0.1914, 0.2223], [0.9545, 0.1175, 0.6925], [0.0455, 0.8825, 0.3075], [0.0139, 0.7477, 0.5852], [0.9861, 0.2523, 0.4148], [0.2625, 0.0031, 0.8721], [0.7375, 0.9969, 0.1279], [0.3623, 0.5763, 0.3850], [0.6377, 0.4237, 0.6150], [0.6122, 0.9449, 0.3595], [0.3878, 0.0551, 0.6405]],
  "e_tot_ev_per_fu": -96.02,
  "magmom_total_mub_per_fu": 5.00,
  "formation_energy_uncorrected_ev_per_atom": -2.251,
  "crystal_system": "triclinic",
  "sg": "No. 2"
}